Entry 1:
Below is a relaxed structure of Sm2MgFe, with properties calculated at the GGA-PBE level.

Output
M_tot = 1.50 μB/f.u.
energy above the lowest structure with this stoichiometry = 0.000 eV/atom
ΔE_f = 54.9 meV/atom
N(E_F) = 1.13 states/eV per atom

Cell: 3.5023 3.5023 8.1508 Å, 90.00 90.00 90.00°
Fractional positions:
Sm (0.0000, 0.0000, 0.2040)
Sm (0.0000, 0.0000, 0.7960)
Mg (0.5000, 0.5000, 0.5000)
Fe (0.5000, 0.5000, 0.0000)

Entry 2:
Below is a relaxed structure of Tb4Sc, with properties calculated at the GGA-PBE level.

Output
M_tot = 0.00 μB/f.u.
energy above the lowest structure with this stoichiometry = 0.002 eV/atom
ΔE_f = 36.5 meV/atom
N(E_F) = 1.26 states/eV per atom

Cell: 3.5113 3.5113 14.3211 Å, 96.97 96.97 60.02°
Fractional positions:
Tb (0.1029, 0.1029, 0.3090)
Tb (0.2989, 0.2989, 0.8979)
Tb (0.7011, 0.7011, 0.1021)
Tb (0.8971, 0.8971, 0.6910)
Sc (0.5000, 0.5000, 0.5000)

Entry 3:
Below is a relaxed structure of Tb8Dy2Cd, with properties calculated at the GGA-PBE level.

Output
M_tot = 0.00 μB/f.u.
energy above the lowest structure with this stoichiometry = 0.000 eV/atom
ΔE_f = -10.6 meV/atom
N(E_F) = 1.51 states/eV per atom

Cell: 6.1106 6.1106 12.5730 Å, 103.42 103.42 48.18°
Fractional positions:
Tb (0.0382, 0.0382, 0.3220)
Tb (0.1384, 0.1384, 0.9523)
Tb (0.2393, 0.2393, 0.5888)
Tb (0.4092, 0.4092, 0.8611)
Tb (0.5908, 0.5908, 0.1389)
Tb (0.7607, 0.7607, 0.4112)
Tb (0.8616, 0.8616, 0.0477)
Tb (0.9618, 0.9618, 0.6780)
Dy (0.3143, 0.3143, 0.2347)
Dy (0.6857, 0.6857, 0.7653)
Cd (0.5000, 0.5000, 0.5000)

Entry 4:
Below is a relaxed structure of LaAl2BF, with properties calculated at the GGA-PBE level.

Output
M_tot = 0.00 μB/f.u.
formation energy from raw total energies = 631 meV/atom
N(E_F) = 0.63 states/eV per atom

Cell: 6.0700 6.0700 4.4132 Å, 90.00 90.00 90.00°
Fractional positions:
La (0.0000, 0.0000, 0.0000)
Al (0.0000, 0.5000, 0.0000)
Al (0.5000, 0.0000, 0.0000)
B (0.5000, 0.5000, 0.5000)
F (0.0000, 0.0000, 0.5000)

For the records above, the corresponding V values read 24.99; 30.29; 30.76; 32.52 Å³ per atom.